(1)
Entry from Alexandria via LeMat-Bulk: a relaxed CaY2CdPd4 crystal (PBE-GGA).

Values from the calculation:
For the total energy, the calculation gives -5.32 eV per atom. The calculation puts the energy of formation from the pure elements at -739 meV/atom.

Unit cell a=4.8836 b=4.8836 c=24.0453 alpha=90.00 beta=90.00 gamma=120.00
Closest atoms and distances in Å follow each position.
Space group R-3m (No. 166, hexagonal axes)
Symmetry-distinct sites (fractional):
Ca  0.0000  0.0000  0.0000 (multiplicity 3)  8 Pd 2.99-3.01
Y  0.0000  0.0000  0.2450 (multiplicity 6)  8 Pd 2.90-3.17
Cd  0.0000  0.0000  0.5000 (multiplicity 3)  8 Pd 2.96-3.00
Pd  0.0000  0.0000  0.1245 (multiplicity 6)  4 Y 2.90-2.95, 1 Ca 2.99, 3 Cd 3.00
Pd  0.0000  0.0000  0.3768 (multiplicity 6)  1 Cd 2.96, 3 Ca 3.01, 4 Y 3.02-3.17

(2)
Entry from Alexandria via LeMat-Bulk: a relaxed Ca2Zn5CdPd2 crystal (PBE-GGA).

Values from the calculation:
For the total energy, the calculation gives -2.53 eV per atom. The calculation puts the energy of formation from the pure elements at -363 meV/atom.

Unit cell a=9.5839 b=9.5839 c=4.2236 alpha=90.00 beta=90.00 gamma=90.00
Closest atoms and distances in Å follow each position.
Space group P4/mbm (No. 127)
Symmetry-distinct sites (fractional):
Ca  0.1808  0.3192  0.0000 (multiplicity 4)  3 Pd 2.80-2.89
Zn  0.0000  0.5000  0.5000 (multiplicity 2)  4 Pd 2.61, 4 Zn 2.83
Zn  0.0618  0.7889  0.5000 (multiplicity 8)  2 Pd 2.75, 3 Zn 2.83-2.98, 2 Cd 2.98
Cd  0.0000  0.0000  0.0000 (multiplicity 2)  8 Zn 2.98
Pd  0.1130  0.6130  0.0000 (multiplicity 4)  6 Zn 2.61-2.75, 3 Ca 2.80-2.89

(3)
Entry from Alexandria via LeMat-Bulk: a relaxed Ca2PmCd2 crystal (PBE-GGA).

Values from the calculation:
For the relative energy among the computed polymorphs, the calculation gives 0.0 kJ per mole of atoms. For the total energy, the calculation gives -2.35 eV per atom. The calculation puts the energy of formation from the pure elements at -231 meV/atom.

Unit cell a=3.8584 b=22.3061 c=3.6860 alpha=90.00 beta=90.00 gamma=90.00
Closest atoms and distances in Å follow each position.
Space group Cmmm (No. 65)
Symmetry-distinct sites (fractional):
Ca  0.0000  0.1749  0.0000 (multiplicity 4)  4 Cd 3.29, 2 Ca 3.69
Pm  0.0000  0.0000  0.0000 (multiplicity 2)  8 Cd 3.32, 2 Pm 3.69
Cd  0.0000  0.4115  0.5000 (multiplicity 4)  4 Ca 3.29, 4 Pm 3.32, 2 Cd 3.69

(4)
Entry from Alexandria via LeMat-Bulk: a relaxed Ca3PmCd2 crystal (PBE-GGA).

Values from the calculation:
For the total energy, the calculation gives -2.32 eV per atom. The calculation puts the energy of formation from the pure elements at -218 meV/atom.

Unit cell a=5.3182 b=10.0758 c=7.0969 alpha=90.00 beta=90.00 gamma=90.00
Closest atoms and distances in Å follow each position.
Space group Pmc2_1 (No. 26)
Symmetry-distinct sites (fractional):
Ca  0.0000  0.0533  0.0000 (multiplicity 2)  3 Cd 3.31-3.39, 4 Ca 3.63-3.71
Ca  0.0000  0.3159  0.3686 (multiplicity 2)  4 Cd 3.22-3.29
Ca  0.5000  0.1858  0.7078 (multiplicity 2)  4 Cd 3.29-3.33, 2 Ca 3.63
Pm  0.5000  0.4517  0.0744 (multiplicity 2)  5 Cd 3.31-3.68, 2 Ca 3.65, 2 Pm 3.68
Cd  0.0000  0.3665  0.8243 (multiplicity 2)  5 Ca 3.22-3.39, 2 Pm 3.31
Cd  0.5000  0.1428  0.2478 (multiplicity 2)  6 Ca 3.29-3.32, 1 Pm 3.35